# 1
Entry from Alexandria via LeMat-Bulk: a geometry-optimized SrDyTc2O8 structure (PBE).

Calculated values
Its density of states at the Fermi level is 8.3 states/eV per cell. The formation energy (no corrections) comes out at -47.344 kcal/mol of atoms.

Unit cell a=5.9096 b=5.9096 c=7.1689 alpha=90.00 beta=90.00 gamma=120.00
Last column: magnetic moment on the atom in μB.
Fractional coordinates of all 12 atoms:
O  0.1632  0.8372  0.7112  0.06
O  0.6667  0.3333  0.9644  0.13
O  0.8372  0.6740  0.2888  0.06
O  0.8368  0.1628  0.2888  0.06
O  0.3260  0.1632  0.2888  0.06
O  0.6740  0.8368  0.7112  0.06
O  0.3333  0.6667  0.0356  0.13
O  0.1628  0.3260  0.7112  0.06
Tc  0.3333  0.6667  0.7892  0.98
Tc  0.6667  0.3333  0.2108  0.98
Sr  0.0000  0.0000  0.0000  0.01
Dy  0.0000  0.0000  0.5000  0.08

# 2
Entry from Alexandria via LeMat-Bulk: a geometry-optimized Sr2DyTcO6 structure (PBE).

Calculated values
Its density of states at the Fermi level is 10.0 states/eV per cell. The formation energy (no corrections) comes out at -59.816 kcal/mol of atoms.

Unit cell a=5.8189 b=5.8904 c=8.2587 alpha=90.00 beta=90.32 gamma=90.00
Last column: magnetic moment on the atom in μB.
Fractional coordinates of all 20 atoms:
O  0.2290  0.1990  0.4615  0.04
O  0.7710  0.8010  0.5385  0.04
O  0.8038  0.7719  0.9589  0.03
O  0.9254  0.5200  0.2340  0.03
O  0.5746  0.0200  0.2660  0.03
O  0.1962  0.2281  0.0411  0.03
O  0.2710  0.6990  0.0385  0.04
O  0.0746  0.4800  0.7660  0.03
O  0.6962  0.2719  0.5411  0.03
O  0.3038  0.7281  0.4589  0.03
O  0.4254  0.9800  0.7340  0.03
O  0.7290  0.3010  0.9615  0.04
Sr  0.0084  0.9636  0.2498  0.01
Sr  0.5084  0.5364  0.7498  0.01
Sr  0.9916  0.0364  0.7502  0.01
Sr  0.4916  0.4636  0.2502  0.01
Dy  0.5000  0.0000  0.0000  0.05
Dy  0.0000  0.5000  0.5000  0.05
Tc  0.0000  0.5000  0.0000  1.52
Tc  0.5000  0.0000  0.5000  1.52

# 3
Entry from Alexandria via LeMat-Bulk: a geometry-optimized Sr2DyThO6 structure (PBE).

Calculated values
Its density of states at the Fermi level is 14.4 states/eV per cell. The formation energy (no corrections) comes out at -70.997 kcal/mol of atoms.

Unit cell a=6.0741 b=6.2401 c=8.7011 alpha=90.00 beta=89.68 gamma=90.00
Last column: magnetic moment on the atom in μB.
Fractional coordinates of all 20 atoms:
Th  0.5000  0.0000  0.5000  0.07
Th  0.0000  0.5000  0.0000  0.07
Sr  0.5156  0.5468  0.7500  0.00
Sr  0.0156  0.9532  0.2500  0.00
Sr  0.9844  0.0468  0.7500  0.00
Sr  0.4844  0.4532  0.2500  0.00
O  0.2025  0.2032  0.0604  0.12
O  0.2005  0.2043  0.4394  0.13
O  0.2975  0.7032  0.4396  0.12
O  0.6116  0.0492  0.2489  0.15
O  0.7995  0.7957  0.5606  0.13
O  0.7975  0.7968  0.9396  0.12
O  0.7025  0.2968  0.5604  0.12
O  0.3884  0.9508  0.7511  0.15
O  0.7005  0.2957  0.9394  0.13
O  0.2995  0.7043  0.0606  0.13
O  0.8884  0.5492  0.2511  0.15
O  0.1116  0.4508  0.7489  0.15
Dy  0.0000  0.5000  0.5000  0.03
Dy  0.5000  0.0000  0.0000  0.03

# 4
Entry from Alexandria via LeMat-Bulk: a geometry-optimized Sr4DyTi3O12 structure (PBE).

Calculated values
Its density of states at the Fermi level is 12.2 states/eV per cell. The formation energy (no corrections) comes out at -69.187 kcal/mol of atoms.

Unit cell a=7.0335 b=7.0335 c=7.0335 alpha=109.47 beta=109.47 gamma=109.47
Fractional coordinates of all 20 atoms:
O  0.2500  0.7500  0.5000
O  0.5000  0.2500  0.7500
O  0.7326  0.7326  0.0000
O  0.0000  0.7326  0.7326
O  0.5000  0.7500  0.2500
O  0.2500  0.5000  0.7500
O  0.2674  0.0000  0.2674
O  0.7326  0.0000  0.7326
O  0.7500  0.5000  0.2500
O  0.2674  0.2674  0.0000
O  0.0000  0.2674  0.2674
O  0.7500  0.2500  0.5000
Ti  0.5000  0.0000  0.5000
Ti  0.5000  0.5000  0.0000
Ti  0.0000  0.5000  0.5000
Sr  0.0000  0.0000  0.5000
Sr  0.0000  0.5000  0.0000
Sr  0.5000  0.5000  0.5000
Sr  0.5000  0.0000  0.0000
Dy  0.0000  0.0000  0.0000

# 5
Entry from Alexandria via LeMat-Bulk: a geometry-optimized SrDy2TlO6 structure (PBE).

Calculated values
Its density of states at the Fermi level is 8.4 states/eV per cell. The formation energy (no corrections) comes out at -55.274 kcal/mol of atoms.

Unit cell a=5.9189 b=5.9184 c=6.2319 alpha=61.65 beta=61.64 gamma=60.00
Last column: magnetic moment on the atom in μB.
Fractional coordinates of all 10 atoms:
Dy  0.5230  0.5231  0.4307  -0.01
Dy  0.0157  0.0157  0.9529  0.00
O  0.3673  0.7224  0.7427  0.22
O  0.6211  0.2302  0.2373  0.09
O  0.2303  0.9115  0.2372  0.09
O  0.1676  0.3674  0.7426  0.22
O  0.9115  0.6210  0.2373  0.09
O  0.7224  0.1676  0.7427  0.22
Tl  0.3080  0.3079  0.0761  0.00
Sr  0.7948  0.7948  0.6156  0.00

# 6
Entry from Alexandria via LeMat-Bulk: a geometry-optimized Sr2DyTlO5 structure (PBE).

Calculated values
The formation energy (no corrections) comes out at -54.796 kcal/mol of atoms.

Unit cell a=3.5335 b=7.4809 c=11.1860 alpha=90.00 beta=90.00 gamma=103.66
Fractional coordinates of all 18 atoms:
O  0.9365  0.8729  0.5655
O  0.3048  0.6097  0.3789
O  0.6281  0.2563  0.5128
O  0.4934  0.9868  0.7765
O  0.0635  0.1271  0.0655
O  0.7210  0.4419  0.1461
O  0.3719  0.7437  0.0128
O  0.5066  0.0132  0.2765
O  0.2790  0.5581  0.6461
O  0.6952  0.3903  0.8789
Sr  0.8894  0.7788  0.1931
Sr  0.1377  0.2753  0.2794
Sr  0.1106  0.2212  0.6931
Sr  0.8623  0.7247  0.7794
Dy  0.7783  0.5565  0.5082
Dy  0.2217  0.4435  0.0082
Tl  0.5235  0.0470  0.9635
Tl  0.4765  0.9530  0.4635

# 7
Entry from Alexandria via LeMat-Bulk: a geometry-optimized Sr2DyUO6 structure (PBE).

Calculated values
The energy above the most stable polymorph in this dataset comes out at 0.0 meV/atom. The formation energy (no corrections) comes out at -75.695 kcal/mol of atoms.

Unit cell a=5.9884 b=6.1222 c=8.5427 alpha=90.00 beta=90.01 gamma=90.00
Last column: magnetic moment on the atom in μB.
Fractional coordinates of all 20 atoms:
U  0.0000  0.5000  0.0000  1.07
U  0.5000  0.0000  0.5000  1.07
O  0.2106  0.1979  0.4494  -0.02
O  0.5990  0.0375  0.2569  -0.02
O  0.2894  0.6979  0.0506  -0.02
O  0.4010  0.9625  0.7431  -0.02
O  0.9010  0.5376  0.2431  -0.02
O  0.6968  0.2884  0.5552  -0.02
O  0.8031  0.7884  0.9448  -0.02
O  0.3032  0.7116  0.4448  -0.02
O  0.1969  0.2116  0.0552  -0.02
O  0.0990  0.4624  0.7569  -0.02
O  0.7106  0.3021  0.9494  -0.02
O  0.7894  0.8021  0.5506  -0.02
Dy  0.5000  0.0000  0.0000  -0.01
Dy  0.0000  0.5000  0.5000  -0.01
Sr  0.4887  0.4567  0.2493  0.00
Sr  0.0113  0.9567  0.2507  0.00
Sr  0.5113  0.5433  0.7507  0.00
Sr  0.9887  0.0433  0.7493  0.00

# 8
Entry from Alexandria via LeMat-Bulk: a geometry-optimized Sr2DyUO6 structure (PBE).

Calculated values
The energy above the most stable polymorph in this dataset comes out at 126.9 meV/atom. The formation energy (no corrections) comes out at -72.769 kcal/mol of atoms.

Unit cell a=6.1568 b=6.1568 c=6.1568 alpha=60.00 beta=60.00 gamma=60.00
Last column: magnetic moment on the atom in μB.
Fractional coordinates of all 10 atoms:
O  0.7547  0.2453  0.7547  -0.02
O  0.2453  0.7547  0.2453  -0.02
O  0.2453  0.2453  0.7547  -0.02
O  0.7547  0.2453  0.2453  -0.02
O  0.7547  0.7547  0.2453  -0.02
O  0.2453  0.7547  0.7547  -0.02
Sr  0.2500  0.2500  0.2500  0.01
Sr  0.7500  0.7500  0.7500  0.01
Dy  0.5000  0.5000  0.5000  -0.02
U  0.0000  0.0000  0.0000  1.05